No. 1
The following is a GGA-PBE calculation of crystalline CsPrB2H8 at its relaxed geometry, from Alexandria.

Values from the calculation:
- electronic total energy (eV/cell) = -49.48
- D(E_F) (states/eV/cell) = 1.0
- size of the total moment (μB/f.u.) = 0.000

Lattice parameters (Å, degrees): 9.136 9.136 9.136 26.77 26.77 26.77
Fractional coordinates of all 12 atoms:
Cs1 0.000 0.000 0.000
Pr1 0.500 0.500 0.500
B1 0.236 0.236 0.236
B2 0.764 0.764 0.764
H1 0.060 0.060 0.542
H2 0.060 0.542 0.060
H3 0.282 0.282 0.282
H4 0.458 0.940 0.940
H5 0.542 0.060 0.060
H6 0.718 0.718 0.718
H7 0.940 0.458 0.940
H8 0.940 0.940 0.458

---

No. 2
The following is a GGA-PBE calculation of crystalline Si2HgRh at its relaxed geometry, from Alexandria.

Values from the calculation:
- formation energy (no corrections) (eV/f.u.) = 0.043
- D(E_F) (states/eV/cell) = 1.9
- size of the total moment (μB/f.u.) = 0.000

Lattice parameters (Å, degrees): 2.983 2.983 7.692 90.00 90.00 90.00
Fractional coordinates of all 4 atoms:
Si1 0.000 0.000 0.000
Si2 0.500 0.500 0.204
Hg1 0.000 0.000 0.546
Rh1 0.500 0.500 0.842

---

No. 3
The following is a GGA-PBE calculation of crystalline LaCd2Pb at its relaxed geometry, from Alexandria.

Values from the calculation:
- D(E_F) (states/eV/cell) = 4.0
- calculated formation energy (kcal/mol of atoms) = 6.58
- size of the total moment (μB/f.u.) = 0.453

Lattice parameters (Å, degrees): 5.312 5.312 5.997 90.00 90.00 120.00
Fractional coordinates of all 4 atoms:
La1 0.000 0.000 0.000
Cd1 0.000 0.000 0.500
Cd2 0.333 0.667 0.500
Pb1 0.667 0.333 0.500

---

No. 4
The following is a GGA-PBE calculation of crystalline TbSmO3 at its relaxed geometry, from Alexandria.

Values from the calculation:
- formation energy (no corrections) (eV/f.u.) = -16.622
- D(E_F) (states/eV/cell) = 0.0
- size of the total moment (μB/f.u.) = 0.000

Lattice parameters (Å, degrees): 6.461 6.461 6.461 52.63 52.63 52.63
Fractional coordinates of all 10 atoms:
Tb1 0.148 0.148 0.148
Tb2 0.852 0.852 0.852
Sm1 0.356 0.356 0.356
Sm2 0.644 0.644 0.644
O1 0.039 0.454 0.759
O2 0.241 0.546 0.961
O3 0.454 0.759 0.039
O4 0.546 0.961 0.241
O5 0.759 0.039 0.454
O6 0.961 0.241 0.546

---

No. 5
The following is a GGA-PBE calculation of crystalline PaNbSi2Ru at its relaxed geometry, from Alexandria.

Values from the calculation:
- formation energy (no corrections) (eV/f.u.) = -2.825
- D(E_F) (states/eV/cell) = 7.0
- size of the total moment (μB/f.u.) = 0.000

Lattice parameters (Å, degrees): 6.174 6.174 6.174 142.02 142.02 54.79
Fractional coordinates of all 5 atoms:
Pa1 0.000 0.000 0.000
Nb1 0.750 0.250 0.500
Si1 0.393 0.393 0.000
Si2 0.607 0.607 0.000
Ru1 0.250 0.750 0.500

---

No. 6
The following is a GGA-PBE calculation of crystalline BaZn2BrO2 at its relaxed geometry, from Alexandria.

Values from the calculation:
- formation energy (no corrections) (eV/f.u.) = -8.307
- D(E_F) (states/eV/cell) = 1.4
- size of the total moment (μB/f.u.) = 0.000

Lattice parameters (Å, degrees): 7.081 5.330 7.832 90.00 114.04 90.00
Fractional coordinates of all 12 atoms:
Ba1 0.173 0.250 0.366
Ba2 0.827 0.750 0.634
Zn1 0.383 0.509 0.818
Zn2 0.383 0.991 0.818
Zn3 0.617 0.009 0.182
Zn4 0.617 0.491 0.182
Br1 0.079 0.250 0.889
Br2 0.921 0.750 0.111
O1 0.198 0.750 0.640
O2 0.468 0.250 0.693
O3 0.532 0.750 0.307
O4 0.802 0.250 0.360

---

No. 7
The following is a GGA-PBE calculation of crystalline Cs2OsSe at its relaxed geometry, from Alexandria.

Values from the calculation:
- formation energy (no corrections) (eV/f.u.) = 4.298
- D(E_F) (states/eV/cell) = 9.2
- size of the total moment (μB/f.u.) = 4.006

Lattice parameters (Å, degrees): 6.119 6.119 6.119 60.00 60.00 60.00
Fractional coordinates of all 4 atoms:
Cs1 0.250 0.250 0.250
Cs2 0.750 0.750 0.750
Os1 0.000 0.000 0.000
Se1 0.500 0.500 0.500

---

No. 8
The following is a GGA-PBE calculation of crystalline TlSb3Pb3 at its relaxed geometry, from Alexandria.

Values from the calculation:
- formation energy (no corrections) (eV/f.u.) = 0.819
- D(E_F) (states/eV/cell) = 6.1
- relative energy among the computed polymorphs (meV/atom) = 80
- size of the total moment (μB/f.u.) = 0.000

Lattice parameters (Å, degrees): 11.111 11.111 11.111 37.90 37.90 37.90
Fractional coordinates of all 14 atoms:
Tl1 0.172 0.172 0.172
Tl2 0.828 0.828 0.828
Sb1 0.177 0.716 0.421
Sb2 0.284 0.579 0.823
Sb3 0.421 0.177 0.716
Sb4 0.579 0.823 0.284
Sb5 0.716 0.421 0.177
Sb6 0.823 0.284 0.579
Pb1 0.016 0.607 0.247
Pb2 0.247 0.016 0.607
Pb3 0.393 0.753 0.984
Pb4 0.607 0.247 0.016
Pb5 0.753 0.984 0.393
Pb6 0.984 0.393 0.753

---

No. 9
The following is a GGA-PBE calculation of crystalline CdIn12Pb7 at its relaxed geometry, from Alexandria.

Values from the calculation:
- D(E_F) (states/eV/cell) = 10.7
- calculated formation energy (kcal/mol of atoms) = 1.63
- size of the total moment (μB/f.u.) = 0.000

Lattice parameters (Å, degrees): 9.056 9.056 9.056 108.58 108.58 108.58
Fractional coordinates of all 20 atoms:
Cd1 0.000 0.000 0.000
In1 0.080 0.383 0.282
In2 0.208 0.436 0.673
In3 0.282 0.080 0.383
In4 0.327 0.792 0.564
In5 0.383 0.282 0.080
In6 0.436 0.673 0.208
In7 0.564 0.327 0.792
In8 0.617 0.718 0.920
In9 0.673 0.208 0.436
In10 0.718 0.920 0.617
In11 0.792 0.564 0.327
In12 0.920 0.617 0.718
Pb1 0.000 0.322 0.873
Pb2 0.000 0.678 0.127
Pb3 0.127 0.000 0.678
Pb4 0.322 0.873 0.000
Pb5 0.500 0.500 0.500
Pb6 0.678 0.127 0.000
Pb7 0.873 0.000 0.322

---

No. 10
The following is a GGA-PBE calculation of crystalline Ce8CdRh2 at its relaxed geometry, from Alexandria.

Values from the calculation:
- D(E_F) (states/eV/cell) = 33.3
- calculated formation energy (kcal/mol of atoms) = -4.55
- size of the total moment (μB/f.u.) = 3.581

Lattice parameters (Å, degrees): 7.773 7.773 6.393 97.28 97.28 50.12
Fractional coordinates of all 11 atoms:
Ce1 0.032 0.032 0.306
Ce2 0.138 0.630 0.116
Ce3 0.285 0.285 0.625
Ce4 0.370 0.862 0.884
Ce5 0.630 0.138 0.116
Ce6 0.715 0.715 0.375
Ce7 0.862 0.370 0.884
Ce8 0.968 0.968 0.694
Cd1 0.500 0.500 0.500
Rh1 0.224 0.224 0.196
Rh2 0.776 0.776 0.804

---

No. 11
The following is a GGA-PBE calculation of crystalline NaYSc2Te4 at its relaxed geometry, from Alexandria.

Values from the calculation:
- formation energy (no corrections) (eV/f.u.) = -9.648
- D(E_F) (states/eV/cell) = 4.1
- size of the total moment (μB/f.u.) = 0.000

Lattice parameters (Å, degrees): 7.417 4.240 7.495 90.00 108.71 90.00
Fractional coordinates of all 8 atoms:
Na1 0.000 0.000 0.000
Y1 0.500 0.500 0.000
Sc1 0.000 0.500 0.500
Sc2 0.500 0.000 0.500
Te1 0.245 0.000 0.736
Te2 0.257 0.500 0.267
Te3 0.743 0.500 0.733
Te4 0.755 0.000 0.264

---

No. 12
The following is a GGA-PBE calculation of crystalline TmVCr at its relaxed geometry, from Alexandria.

Values from the calculation:
- D(E_F) (states/eV/cell) = 8.1
- calculated formation energy (kcal/mol of atoms) = 7.44
- size of the total moment (μB/f.u.) = 0.000

Lattice parameters (Å, degrees): 3.301 4.410 7.546 90.00 90.00 90.00
Fractional coordinates of all 6 atoms:
Tm1 0.250 0.250 0.153
Tm2 0.750 0.750 0.847
V1 0.250 0.250 0.696
V2 0.750 0.750 0.304
Cr1 0.250 0.750 0.518
Cr2 0.750 0.250 0.482

---

No. 13
The following is a GGA-PBE calculation of crystalline AlHg2Sb at its relaxed geometry, from Alexandria.

Values from the calculation:
- formation energy (no corrections) (eV/f.u.) = 1.067
- D(E_F) (states/eV/cell) = 2.1
- relative energy among the computed polymorphs (meV/atom) = 202
- size of the total moment (μB/f.u.) = 0.000

Lattice parameters (Å, degrees): 5.324 5.324 3.444 90.00 90.00 90.00
Fractional coordinates of all 4 atoms:
Al1 0.000 0.000 0.000
Hg1 0.000 0.500 0.500
Hg2 0.500 0.000 0.500
Sb1 0.500 0.500 0.000

---

No. 14
The following is a GGA-PBE calculation of crystalline Ce2AlGe3Rh4 at its relaxed geometry, from Alexandria.

Values from the calculation:
- D(E_F) (states/eV/cell) = 10.6
- calculated formation energy (kcal/mol of atoms) = -20.43
- size of the total moment (μB/f.u.) = 0.917

Lattice parameters (Å, degrees): 4.189 4.189 10.368 90.00 90.00 90.00
Fractional coordinates of all 10 atoms:
Ce1 0.000 0.500 0.247
Ce2 0.500 0.000 0.753
Al1 0.500 0.500 0.000
Ge1 0.000 0.000 0.000
Ge2 0.000 0.500 0.630
Ge3 0.500 0.000 0.370
Rh1 0.000 0.000 0.500
Rh2 0.000 0.500 0.866
Rh3 0.500 0.000 0.134
Rh4 0.500 0.500 0.500

---

No. 15
The following is a GGA-PBE calculation of crystalline TaCu4Cl at its relaxed geometry, from Alexandria.

Values from the calculation:
- formation energy (no corrections) (eV/f.u.) = 3.059
- D(E_F) (states/eV/cell) = 5.4
- size of the total moment (μB/f.u.) = 0.000

Lattice parameters (Å, degrees): 4.963 4.963 4.963 60.00 60.00 60.00
Fractional coordinates of all 6 atoms:
Ta1 0.000 0.000 0.000
Cu1 0.375 0.375 0.375
Cu2 0.375 0.375 0.875
Cu3 0.375 0.875 0.375
Cu4 0.875 0.375 0.375
Cl1 0.750 0.750 0.750

---

No. 16
The following is a GGA-PBE calculation of crystalline Y2TaMn at its relaxed geometry, from Alexandria.

Values from the calculation:
- D(E_F) (states/eV/cell) = 5.8
- relative energy among the computed polymorphs (meV/atom) = 0
- calculated formation energy (kcal/mol of atoms) = 3.62
- size of the total moment (μB/f.u.) = 0.001

Lattice parameters (Å, degrees): 3.244 3.241 8.494 90.00 90.00 90.00
Fractional coordinates of all 4 atoms:
Y1 0.000 0.000 0.000
Y2 0.498 0.500 0.364
Ta1 0.500 0.500 0.733
Mn1 0.000 0.000 0.591